(1)
# NdDy2As3, optimized geometry, DFT PBE
# Magnetic moment (μB per atom): 0.00
# Formation energy (eV/atom): -1.519
# Total DFT energy (no corrections) (eV per atom): -6.17
data_NdDy2As3
_chemical_formula_sum 'Nd2 Dy4 As6'
_space_group_name_H-M_alt 'I m m m'
_space_group_IT_number 71
_space_group_name_Hall '-I 2 2'
_cell_length_a 4.173
_cell_length_b 5.903
_cell_length_c 12.508
_cell_angle_alpha 90.00
_cell_angle_beta 90.00
_cell_angle_gamma 90.00
loop_
_atom_site_label
_atom_site_fract_x
_atom_site_fract_y
_atom_site_fract_z
Nd1 0.000 0.000 0.000
Dy1 0.000 0.000 0.334
As1 0.000 0.500 0.000
As2 0.000 0.500 0.328

(2)
# Nd5Dy3As8, optimized geometry, DFT PBE
# Magnetic moment (μB per atom): 0.00
# Formation energy (eV/atom): -1.514
# Total DFT energy (no corrections) (eV per atom): -6.19
data_Nd5Dy3As8
_chemical_formula_sum 'Nd15 Dy9 As24'
_space_group_name_H-M_alt 'R -3 m'
_space_group_IT_number 166
_space_group_name_Hall '-R 3 2"'
_cell_length_a 8.4326
_cell_length_b 8.4326
_cell_length_c 20.6528
_cell_angle_alpha 90.00
_cell_angle_beta 90.00
_cell_angle_gamma 120.00
loop_
_atom_site_label
_atom_site_fract_x
_atom_site_fract_y
_atom_site_fract_z
Nd1 0.0000 0.0000 0.0000
Nd2 0.0000 0.0000 0.5000
Nd3 0.0000 0.5000 0.0000
Dy1 0.0000 0.5000 0.5000
As1 0.0000 0.0000 0.2469
As2 0.0042 0.5021 0.7521

(3)
# NdDyNi2As2, optimized geometry, DFT PBE
# Magnetic moment (μB per atom): 0.00
# Formation energy (eV/atom): -1.046
# Total DFT energy (no corrections) (eV per atom): -6.09
data_NdDyNi2As2
_chemical_formula_sum 'Nd1 Dy1 Ni2 As2'
_space_group_name_H-M_alt 'P -3 m 1'
_space_group_IT_number 164
_space_group_name_Hall '-P 3 2"'
_cell_length_a 4.0857
_cell_length_b 4.0857
_cell_length_c 7.9237
_cell_angle_alpha 90.00
_cell_angle_beta 90.00
_cell_angle_gamma 120.00
loop_
_atom_site_label
_atom_site_fract_x
_atom_site_fract_y
_atom_site_fract_z
Nd1 0.0000 0.0000 0.0000
Dy1 0.0000 0.0000 0.5000
Ni1 0.3333 0.6667 0.7416
As1 0.3333 0.6667 0.2593

(4)
# NdDyNp2As4, optimized geometry, DFT PBE
# Magnetic moment (μB per atom): 0.01
# Formation energy (eV/atom): -1.069
# Total DFT energy (no corrections) (eV per atom): -7.80
data_NdDyNp2As4
_chemical_formula_sum 'Nd1 Dy1 Np2 As4'
_space_group_name_H-M_alt 'P 1 2/m 1'
_space_group_IT_number 10
_cell_length_a 7.194
_cell_length_b 4.128
_cell_length_c 7.196
_cell_angle_alpha 90.00
_cell_angle_beta 109.24
_cell_angle_gamma 90.00
loop_
_space_group_symop_operation_xyz
'x,y,z'
'-x,-y,-z'
'-x,y,-z'
'x,-y,z'
loop_
_atom_site_label
_atom_site_fract_x
_atom_site_fract_y
_atom_site_fract_z
Nd1 0.000 0.000 0.000
Dy1 0.500 0.500 0.000
Np1 0.000 0.500 0.500
Np2 0.500 0.000 0.500
As1 0.253 0.000 0.744
As2 0.258 0.500 0.259

(5)
# NdDyPa2As4, optimized geometry, DFT PBE
# Magnetic moment (μB per atom): 0.00
# Formation energy (eV/atom): -1.276
# Total DFT energy (no corrections) (eV per atom): -7.15
data_NdDyPa2As4
_chemical_formula_sum 'Nd1 Dy1 Pa2 As4'
_space_group_name_H-M_alt 'P 1 2/m 1'
_space_group_IT_number 10
_cell_length_a 7.168
_cell_length_b 4.138
_cell_length_c 7.171
_cell_angle_alpha 90.00
_cell_angle_beta 109.45
_cell_angle_gamma 90.00
loop_
_space_group_symop_operation_xyz
'x,y,z'
'-x,-y,-z'
'-x,y,-z'
'x,-y,z'
loop_
_atom_site_label
_atom_site_fract_x
_atom_site_fract_y
_atom_site_fract_z
Nd1 0.000 0.000 0.000
Dy1 0.500 0.500 0.000
Pa1 0.000 0.500 0.500
Pa2 0.500 0.000 0.500
As1 0.252 0.000 0.744
As2 0.258 0.500 0.260

(6)
# Nd2DyPaAs4, optimized geometry, DFT PBE
# Magnetic moment (μB per atom): 0.00
# Formation energy (eV/atom): -1.412
# Total DFT energy (no corrections) (eV per atom): -6.69
data_Nd2DyPaAs4
_chemical_formula_sum 'Nd2 Dy1 Pa1 As4'
_space_group_name_H-M_alt 'P 1 2/m 1'
_space_group_IT_number 10
_cell_length_a 7.218
_cell_length_b 4.187
_cell_length_c 7.266
_cell_angle_alpha 90.00
_cell_angle_beta 109.42
_cell_angle_gamma 90.00
loop_
_space_group_symop_operation_xyz
'x,y,z'
'-x,-y,-z'
'-x,y,-z'
'x,-y,z'
loop_
_atom_site_label
_atom_site_fract_x
_atom_site_fract_y
_atom_site_fract_z
Nd1 0.000 0.000 0.000
Nd2 0.500 0.500 0.000
Dy1 0.000 0.500 0.500
Pa1 0.500 0.000 0.500
As1 0.250 0.000 0.737
As2 0.257 0.500 0.263

(7)
# NdDy2PaAs4, optimized geometry, DFT PBE
# Magnetic moment (μB per atom): 0.04
# Formation energy (eV/atom): -1.406
# Total DFT energy (no corrections) (eV per atom): -6.66
data_NdDy2PaAs4
_chemical_formula_sum 'Nd1 Dy2 Pa1 As4'
_space_group_name_H-M_alt 'P 1 2/m 1'
_space_group_IT_number 10
_cell_length_a 7.152
_cell_length_b 4.151
_cell_length_c 7.193
_cell_angle_alpha 90.00
_cell_angle_beta 109.47
_cell_angle_gamma 90.00
loop_
_space_group_symop_operation_xyz
'x,y,z'
'-x,-y,-z'
'-x,y,-z'
'x,-y,z'
loop_
_atom_site_label
_atom_site_fract_x
_atom_site_fract_y
_atom_site_fract_z
Nd1 0.000 0.000 0.000
Dy1 0.500 0.000 0.500
Dy2 0.500 0.500 0.000
Pa1 0.000 0.500 0.500
As1 0.251 0.000 0.744
As2 0.253 0.500 0.260

(8)
# NdDyAs2Pd5, optimized geometry, DFT PBE
# Magnetic moment (μB per atom): 0.00
# Formation energy (eV/atom): -0.791
# Total DFT energy (no corrections) (eV per atom): -5.75
data_NdDyAs2Pd5
_chemical_formula_sum 'Nd1 Dy1 As2 Pd5'
_space_group_name_H-M_alt 'P 4/m m m'
_space_group_IT_number 123
_space_group_name_Hall '-P 4 2'
_cell_length_a 4.260
_cell_length_b 4.260
_cell_length_c 9.348
_cell_angle_alpha 90.00
_cell_angle_beta 90.00
_cell_angle_gamma 90.00
loop_
_atom_site_label
_atom_site_fract_x
_atom_site_fract_y
_atom_site_fract_z
Nd1 0.000 0.000 0.000
Dy1 0.000 0.000 0.500
As1 0.500 0.500 0.364
Pd1 0.000 0.500 0.228
Pd2 0.500 0.500 0.000